This record from the Alexandria database describes crystalline SrTaP2Os at its relaxed geometry. The functional is PBE.

Lattice parameters (Å, degrees): 4.713 4.713 5.066 90.00 90.00 90.00
Site moments in Bohr magnetons follow the coordinates.
Positions (direct):
Sr 0.500 0.500 0.500  0.07
Os 0.000 0.000 0.000  -0.09
P 0.000 0.500 0.000  0.00
P 0.500 0.000 0.000  0.00
Ta 0.000 0.000 0.500  0.99

## Properties
raw total energy: -6.5335 eV per atom
space group: P4/mmm (123)
distance to the lowest polymorph of the same formula: 1.235 eV/atom
mass density: 7.69 g/cm³

This record from the Alexandria database describes crystalline SmTh3 at its relaxed geometry. The functional is PBE.

Lattice parameters (Å, degrees): 5.698 5.698 5.698 60.00 60.00 60.00
Positions (direct):
Sm 0.500 0.500 0.500
Th 0.000 0.000 0.000
Th 0.750 0.750 0.750
Th 0.250 0.250 0.250

## Properties
raw total energy: -6.5604 eV per atom
space group: Fm-3m (225)
distance to the lowest polymorph of the same formula: 0.135 eV/atom
mass density: 10.74 g/cm³

This record from the Alexandria database describes crystalline AcNpTe2 at its relaxed geometry. The functional is PBE.

Lattice parameters (Å, degrees): 3.909 3.909 7.938 90.00 90.00 90.00
Site moments in Bohr magnetons follow the coordinates.
Positions (direct):
Np 0.500 0.500 0.000  -4.41
Ac 0.500 0.500 0.500  -0.16
Te 0.000 0.000 0.767  0.06
Te 0.000 0.000 0.233  0.06

## Properties
raw total energy: -6.7446 eV per atom
space group: P4/mmm (123)
distance to the lowest polymorph of the same formula: 0.105 eV/atom
mass density: 9.85 g/cm³